Record 1
HgN2Cl2 | Alexandria | PBE | relaxed; formation energy from raw total energies = -0.34 eV per atom; DFT total energy = -4.465 eV/atom; distance to the lowest polymorph of the same formula = 0 meV per atom; size of the total moment = 0.0 μB per formula unit; space-group type = C2/m (12); density = 3.52 g/cm3
1.0
3.5608 -1.9530 0.0000
3.5608 1.9530 0.0000
-0.6836 0.0000 10.1477
Hg N Cl
1 2 2
Direct
0.0000 0.0000 0.0000
0.0492 0.0492 0.4597
0.9508 0.9508 0.5403
0.3602 0.3602 0.1438
0.6398 0.6398 0.8562

Record 2
ZnRe2Au | Alexandria | PBE | relaxed; DFT total energy = -6.885 eV/atom; size of the total moment = 0.0 μB per formula unit; space-group type = Pmmm (47); density = 16.85 g/cm3
1.0
2.7782 0.0000 0.0000
0.0000 4.2421 0.0000
0.0000 0.0000 5.3071
Zn Re Au
1 2 1
Direct
0.0000 0.0000 0.0000
0.5000 0.5000 0.2255
0.5000 0.5000 0.7745
0.0000 0.0000 0.5000

Record 3
Dy3Pb5 | Alexandria | PBE | relaxed; DFT total energy = -4.412 eV/atom; size of the total moment = 0.0 μB per formula unit; space-group type = Cmmm (65); density = 11.05 g/cm3
1.0
4.6426 -5.2075 0.0000
4.6426 5.2075 0.0000
0.0000 0.0000 4.7357
Dy Pb
3 5
Direct
0.0000 0.0000 0.0000
0.2796 0.7204 0.5000
0.7204 0.2796 0.5000
0.0000 0.5000 0.0000
0.2276 0.2276 0.5000
0.5000 0.0000 0.0000
0.5000 0.5000 0.0000
0.7724 0.7724 0.5000

Record 4
TbAlSbO6 | Alexandria | PBE | relaxed; formation energy from raw total energies = -2.32 eV per atom; DFT total energy = -7.011 eV/atom; size of the total moment = 1.0 μB per formula unit; space-group type = P-31c (163); density = 5.94 g/cm3
1.0
5.1635 0.0000 0.0000
-2.5817 4.4717 0.0000
0.0000 0.0000 9.7713
Tb Al Sb O
2 2 2 12
Direct
0.0000 0.0000 0.0000
0.0000 0.0000 0.5000
0.3333 0.6667 0.2500
0.6667 0.3333 0.7500
0.3333 0.6667 0.7500
0.6667 0.3333 0.2500
0.0119 0.3668 0.1410
0.0119 0.6451 0.3590
0.3549 0.3668 0.3590
0.3549 0.9881 0.1410
0.3668 0.0119 0.6410
0.3668 0.3549 0.8590
0.6332 0.6451 0.1410
0.6332 0.9881 0.3590
0.6451 0.0119 0.8590
0.6451 0.6332 0.6410
0.9881 0.3549 0.6410
0.9881 0.6332 0.8590

Record 5
LiNdIn2I6 | Alexandria | PBE | relaxed; formation energy from raw total energies = -0.97 eV per atom; DFT total energy = -3.112 eV/atom; size of the total moment = 0.0 μB per formula unit; space-group type = R3 (146); density = 4.43 g/cm3
1.0
4.1817 2.4143 7.0721
-4.1817 2.4143 7.0721
0.0000 -4.8286 7.0721
Li Nd In I
1 1 2 6
Direct
0.0000 0.0000 0.0000
0.5076 0.5076 0.5076
0.2085 0.2085 0.2085
0.7131 0.7131 0.7131
0.1617 0.3505 0.7712
0.2713 0.8605 0.6621
0.3505 0.7712 0.1617
0.6621 0.2713 0.8605
0.7712 0.1617 0.3505
0.8605 0.6621 0.2713

Record 6
Li2LaPd | Alexandria | PBE | relaxed; DFT total energy = -3.838 eV/atom; distance to the lowest polymorph of the same formula = 0 meV per atom; size of the total moment = 0.0 μB per formula unit; space-group type = P2_1/m (11); density = 4.88 g/cm3
1.0
4.1340 0.0000 0.0000
0.0000 8.2307 0.0000
-2.0549 0.0000 5.1802
Li La Pd
4 2 2
Direct
0.1651 0.0560 0.3302
0.1651 0.4440 0.3302
0.8349 0.5560 0.6698
0.8349 0.9440 0.6698
0.4424 0.2500 0.8880
0.5576 0.7500 0.1120
0.2678 0.7500 0.5356
0.7322 0.2500 0.4644

Record 7
Ba4CdAu | Alexandria | PBE | relaxed; DFT total energy = -2.254 eV/atom; distance to the lowest polymorph of the same formula = 77 meV per atom; size of the total moment = 0.0 μB per formula unit; space-group type = C2/m (12); density = 5.08 g/cm3
1.0
4.1151 -4.1153 0.0000
4.1151 4.1153 0.0000
-0.0149 0.0000 8.2834
Ba Cd Au
4 1 1
Direct
0.9997 0.4993 0.2422
0.0003 0.5007 0.7578
0.4993 0.9997 0.2422
0.5007 0.0003 0.7578
0.0000 0.0000 0.5000
0.5000 0.5000 0.0000

Record 8
La2CrFe | Alexandria | PBE | relaxed; DFT total energy = -6.627 eV/atom; distance to the lowest polymorph of the same formula = 0 meV per atom; size of the total moment = 0.0 μB per formula unit; space-group type = P4mm (99); density = 7.11 g/cm3
1.0
3.1756 0.0000 0.0000
0.0000 3.1756 0.0000
0.0000 0.0000 8.9324
La Cr Fe
2 1 1
Direct
0.0000 0.0000 0.0000
0.5000 0.5000 0.3818
0.0000 0.0000 0.6408
0.5000 0.5000 0.7531

Record 9
GaBiCl | Alexandria | PBE | relaxed; formation energy from raw total energies = -0.41 eV per atom; DFT total energy = -3.332 eV/atom; size of the total moment = 0.0 μB per formula unit; space-group type = P-1 (2); density = 5.38 g/cm3
1.0
3.4089 0.0000 0.0000
-1.6996 7.2459 0.0000
-0.0141 -1.1792 7.8473
Ga Bi Cl
2 2 2
Direct
0.0592 0.1187 0.1838
0.9408 0.8813 0.8162
0.1343 0.2717 0.8817
0.8657 0.7283 0.1183
0.3765 0.7545 0.6179
0.6235 0.2455 0.3821

Record 10
SmB2Rh2 | Alexandria | PBE | relaxed; DFT total energy = -6.605 eV/atom; size of the total moment = 0.0 μB per formula unit; space-group type = I4/mmm (139); density = 6.51 g/cm3
1.0
-1.9851 1.9851 6.1129
1.9851 -1.9851 6.1129
1.9851 1.9851 -6.1129
Sm B Rh
1 2 2
Direct
0.0000 0.0000 0.0000
0.1997 0.1997 0.0000
0.8003 0.8003 0.0000
0.2500 0.7500 0.5000
0.7500 0.2500 0.5000

Record 11
NaTaAs3 | Alexandria | PBE | relaxed; DFT total energy = -3.930 eV/atom; distance to the lowest polymorph of the same formula = 1538 meV per atom; size of the total moment = 0.0 μB per formula unit; space-group type = Pm-3m (221); density = 6.47 g/cm3
1.0
4.7909 0.0000 0.0000
0.0000 4.7909 0.0000
0.0000 0.0000 4.7909
Na Ta As
1 1 3
Direct
0.0000 0.0000 0.0000
0.5000 0.5000 0.5000
0.0000 0.0000 0.5000
0.0000 0.5000 0.0000
0.5000 0.0000 0.0000

Record 12
Li2ZrPdCl | Alexandria | PBE | relaxed; formation energy from raw total energies = -0.37 eV per atom; DFT total energy = -4.255 eV/atom; size of the total moment = 0.0 μB per formula unit; space-group type = P4/mmm (123); density = 4.53 g/cm3
1.0
4.1722 0.0000 0.0000
0.0000 4.1722 0.0000
0.0000 0.0000 5.1954
Li Zr Pd Cl
2 1 1 1
Direct
0.0000 0.5000 0.0000
0.5000 0.0000 0.0000
0.0000 0.0000 0.5000
0.5000 0.5000 0.5000
0.0000 0.0000 0.0000

Record 13
La2MgAs | Alexandria | PBE | relaxed; DFT total energy = -4.400 eV/atom; distance to the lowest polymorph of the same formula = 324 meV per atom; size of the total moment = 0.0 μB per formula unit; space-group type = P4mm (99); density = 5.40 g/cm3
1.0
3.7090 0.0000 0.0000
0.0000 3.7090 0.0000
0.0000 0.0000 8.4332
La Mg As
2 1 1
Direct
0.0000 0.0000 0.0000
0.5000 0.5000 0.3638
0.0000 0.0000 0.6279
0.5000 0.5000 0.7755

Record 14
YHo4Al2 | Alexandria | PBE | relaxed; DFT total energy = -4.314 eV/atom; distance to the lowest polymorph of the same formula = 508 meV per atom; size of the total moment = 0.0 μB per formula unit; space-group type = I4/mmm (139); density = 6.67 g/cm3
1.0
-2.8100 2.8100 6.3282
2.8100 -2.8100 6.3282
2.8100 2.8100 -6.3282
Y Ho Al
1 4 2
Direct
0.0000 0.0000 0.0000
0.0000 0.5000 0.5000
0.2500 0.7500 0.5000
0.5000 0.0000 0.5000
0.7500 0.2500 0.5000
0.3850 0.3850 0.0000
0.6150 0.6150 0.0000

Record 15
TaNb3H2 | Alexandria | PBE | relaxed; DFT total energy = -8.094 eV/atom; size of the total moment = 0.0 μB per formula unit; space-group type = C2/m (12); density = 9.38 g/cm3
1.0
7.0510 -1.6431 0.0000
7.0510 1.6431 0.0000
-2.0387 0.0000 7.0563
Ta Nb H
2 6 4
Direct
0.1565 0.1565 0.4932
0.8435 0.8435 0.5068
0.0484 0.0484 0.8124
0.2764 0.2764 0.1816
0.3899 0.3899 0.8313
0.6101 0.6101 0.1687
0.7236 0.7236 0.8184
0.9516 0.9516 0.1876
0.1879 0.1879 0.9314
0.4497 0.4497 0.6216
0.5503 0.5503 0.3784
0.8121 0.8121 0.0686

Record 16
ZrNbMo | Alexandria | PBE | relaxed; DFT total energy = -9.905 eV/atom; distance to the lowest polymorph of the same formula = 0 meV per atom; size of the total moment = 0.0 μB per formula unit; space-group type = Imma (74); density = 8.01 g/cm3
1.0
-2.6909 2.7968 3.8566
2.6909 -2.7968 3.8566
2.6909 2.7968 -3.8566
Zr Nb Mo
2 2 2
Direct
0.3735 0.1235 0.2500
0.6265 0.8765 0.7500
0.0000 0.5000 0.5000
0.5000 0.5000 0.0000
0.0000 0.0000 0.5000
0.0000 0.5000 0.0000

Record 17
PrYTlCd | Alexandria | PBE | relaxed; DFT total energy = -3.998 eV/atom; size of the total moment = 0.0 μB per formula unit; space-group type = F-43m (216); density = 7.97 g/cm3
1.0
0.0000 3.8472 3.8472
3.8472 0.0000 3.8472
3.8472 3.8472 0.0000
Pr Y Tl Cd
1 1 1 1
Direct
0.0000 0.0000 0.0000
0.5000 0.5000 0.5000
0.2500 0.2500 0.2500
0.7500 0.7500 0.7500

Record 18
LaNd4Hg4 | Alexandria | PBE | relaxed; DFT total energy = -3.071 eV/atom; size of the total moment = 0.0 μB per formula unit; space-group type = P4_2/n (86); density = 9.20 g/cm3
1.0
9.7566 0.0000 0.0000
0.0000 9.7566 0.0000
0.0000 0.0000 5.7576
La Nd Hg
2 8 8
Direct
0.2500 0.2500 0.2500
0.7500 0.7500 0.7500
0.0956 0.8388 0.6548
0.1612 0.5956 0.1548
0.3388 0.9044 0.1548
0.4044 0.6612 0.6548
0.5956 0.3388 0.3452
0.6612 0.0956 0.8452
0.8388 0.4044 0.8452
0.9044 0.1612 0.3452
0.0444 0.1448 0.8444
0.1448 0.4556 0.6556
0.3552 0.0444 0.6556
0.4556 0.3552 0.8444
0.5444 0.6448 0.1556
0.6448 0.9556 0.3444
0.8552 0.5444 0.3444
0.9556 0.8552 0.1556

Record 19
USnRhAu | Alexandria | PBE | relaxed; DFT total energy = -6.743 eV/atom; size of the total moment = 1.9 μB per formula unit; space-group type = F-43m (216); density = 13.38 g/cm3
1.0
0.0000 3.4410 3.4410
3.4410 0.0000 3.4410
3.4410 3.4410 0.0000
U Sn Rh Au
1 1 1 1
Direct
0.0000 0.0000 0.0000
0.5000 0.5000 0.5000
0.7500 0.7500 0.7500
0.2500 0.2500 0.2500

Record 20
Tm3Pu2Sn3 | Alexandria | PBE | relaxed; DFT total energy = -7.263 eV/atom; size of the total moment = 11.5 μB per formula unit; space-group type = P6_3/mcm (193); density = 10.24 g/cm3
1.0
9.1499 0.0000 0.0000
-4.5750 7.9241 0.0000
0.0000 0.0000 6.0446
Tm Pu Sn
6 4 6
Direct
0.0000 0.2461 0.2500
0.0000 0.7539 0.7500
0.2461 0.0000 0.2500
0.2461 0.2461 0.7500
0.7539 0.0000 0.7500
0.7539 0.7539 0.2500
0.3333 0.6667 0.0000
0.3333 0.6667 0.5000
0.6667 0.3333 0.0000
0.6667 0.3333 0.5000
0.0000 0.3823 0.7500
0.0000 0.6177 0.2500
0.3823 0.0000 0.7500
0.3823 0.3823 0.2500
0.6177 0.0000 0.2500
0.6177 0.6177 0.7500